(1)
# PBE KSr2Fe, optimized geometry
# Calculated density   2.41 g cm⁻³
# Calculated volume   46.48 Å³/atom
# Magnetic moment   0.69 μB per atom
# Formation energy from the elements   0.58 eV/atom
# SG   Amm2 (38)
# Total DFT energy (no corrections)   -2.653 eV per atom
data_KSr2Fe
_space_group_name_H-M_alt 'P 1'
_space_group_IT_number 1
_cell_length_a 4.221
_cell_length_b 4.568
_cell_length_c 9.910
_cell_angle_alpha 76.68
_cell_angle_beta 90.00
_cell_angle_gamma 90.00
loop_
_space_group_symop_operation_xyz
'x,y,z'
loop_
_atom_site_label
_atom_site_type_symbol
_atom_site_fract_x
_atom_site_fract_y
_atom_site_fract_z
Sr1 Sr 0.500 0.266 0.342
Sr2 Sr 0.000 0.905 0.064
Fe1 Fe 0.000 0.744 0.388
K1 K 0.500 0.584 0.706

***

(2)
# PBE CsHRu3, optimized geometry
# Calculated density   5.74 g cm⁻³
# Calculated volume   25.30 Å³/atom
# Magnetic moment   1.20 μB per atom
# Excess energy over the best structure of this formula in the dataset   1.881 eV per atom
# SG   Pm-3m (221)
# Total DFT energy (no corrections)   -3.031 eV per atom
data_CsHRu3
_space_group_name_H-M_alt 'P 1'
_space_group_IT_number 1
_cell_length_a 5.020
_cell_length_b 5.020
_cell_length_c 5.020
_cell_angle_alpha 90.00
_cell_angle_beta 90.00
_cell_angle_gamma 90.00
loop_
_space_group_symop_operation_xyz
'x,y,z'
loop_
_atom_site_label
_atom_site_type_symbol
_atom_site_fract_x
_atom_site_fract_y
_atom_site_fract_z
Cs1 Cs 0.000 0.000 0.000
Ru1 Ru 0.500 0.000 0.000
Ru2 Ru 0.000 0.000 0.500
H1 H 0.500 0.500 0.500
Ru3 Ru 0.000 0.500 0.000

***

(3)
# PBE ZnSbP2S, optimized geometry
# Calculated density   4.60 g cm⁻³
# Calculated volume   20.29 Å³/atom
# Magnetic moment   0.00 μB per atom
# Excess energy over the best structure of this formula in the dataset   0.000 eV per atom
# SG   P4/mmm (123)
# Total DFT energy (no corrections)   -3.357 eV per atom
data_ZnSbP2S
_space_group_name_H-M_alt 'P 1'
_space_group_IT_number 1
_cell_length_a 4.653
_cell_length_b 4.653
_cell_length_c 4.687
_cell_angle_alpha 90.00
_cell_angle_beta 90.00
_cell_angle_gamma 90.00
loop_
_space_group_symop_operation_xyz
'x,y,z'
loop_
_atom_site_label
_atom_site_type_symbol
_atom_site_fract_x
_atom_site_fract_y
_atom_site_fract_z
S1 S 0.000 0.000 0.500
Sb1 Sb 0.500 0.500 0.500
P1 P 0.500 0.000 0.000
P2 P 0.000 0.500 0.000
Zn1 Zn 0.000 0.000 0.000

***

(4)
# PBE Cs2Na2IrO6, optimized geometry
# Calculated density   4.85 g cm⁻³
# Calculated volume   18.69 Å³/atom
# Magnetic moment   0.09 μB per atom
# SG   C2/m (12)
# Total DFT energy (no corrections)   -4.985 eV per atom
data_Cs2Na2IrO6
_space_group_name_H-M_alt 'P 1'
_space_group_IT_number 1
_cell_length_a 5.898
_cell_length_b 5.898
_cell_length_c 6.991
_cell_angle_alpha 99.98
_cell_angle_beta 99.98
_cell_angle_gamma 116.45
loop_
_space_group_symop_operation_xyz
'x,y,z'
loop_
_atom_site_label
_atom_site_type_symbol
_atom_site_fract_x
_atom_site_fract_y
_atom_site_fract_z
O1 O 0.200 0.200 0.342
O2 O 0.318 0.048 0.668
Cs1 Cs 0.177 0.823 0.000
O3 O 0.682 0.952 0.332
O4 O 0.952 0.682 0.332
O5 O 0.800 0.800 0.658
Na1 Na 0.661 0.339 0.500
Na2 Na 0.339 0.661 0.500
Cs2 Cs 0.823 0.177 0.000
Ir1 Ir 0.000 0.000 0.500
O6 O 0.048 0.318 0.668

***

(5)
# PBE BaSeN3, optimized geometry
# Calculated density   3.17 g cm⁻³
# Calculated volume   27.06 Å³/atom
# Magnetic moment   1.28 μB per atom
# SG   Pm-3m (221)
# Total DFT energy (no corrections)   -3.610 eV per atom
data_BaSeN3
_space_group_name_H-M_alt 'P 1'
_space_group_IT_number 1
_cell_length_a 5.134
_cell_length_b 5.134
_cell_length_c 5.134
_cell_angle_alpha 90.00
_cell_angle_beta 90.00
_cell_angle_gamma 90.00
loop_
_space_group_symop_operation_xyz
'x,y,z'
loop_
_atom_site_label
_atom_site_type_symbol
_atom_site_fract_x
_atom_site_fract_y
_atom_site_fract_z
N1 N 0.500 0.000 0.000
N2 N 0.000 0.000 0.500
N3 N 0.000 0.500 0.000
Ba1 Ba 0.000 0.000 0.000
Se1 Se 0.500 0.500 0.500

***

(6)
# PBE ScZn2Fe, optimized geometry
# Calculated density   5.73 g cm⁻³
# Calculated volume   16.77 Å³/atom
# Magnetic moment   0.34 μB per atom
# Formation energy from the elements   0.22 eV/atom
# SG   I-42d (122)
# Total DFT energy (no corrections)   -4.114 eV per atom
data_ScZn2Fe
_space_group_name_H-M_alt 'P 1'
_space_group_IT_number 1
_cell_length_a 3.749
_cell_length_b 3.749
_cell_length_c 9.906
_cell_angle_alpha 79.09
_cell_angle_beta 79.09
_cell_angle_gamma 90.00
loop_
_space_group_symop_operation_xyz
'x,y,z'
loop_
_atom_site_label
_atom_site_type_symbol
_atom_site_fract_x
_atom_site_fract_y
_atom_site_fract_z
Sc1 Sc 0.250 0.750 0.500
Fe1 Fe 0.750 0.250 0.500
Zn1 Zn 0.375 0.342 0.750
Zn2 Zn 0.092 0.625 0.250
Sc2 Sc 0.500 0.500 0.000
Zn3 Zn 0.875 0.908 0.750
Fe2 Fe 0.000 0.000 0.000
Zn4 Zn 0.658 0.125 0.250

***

(7)
# PBE V2IrW, optimized geometry
# Calculated density   13.83 g cm⁻³
# Calculated volume   14.35 Å³/atom
# Magnetic moment   0.00 μB per atom
# Formation energy from the elements   -0.25 eV/atom
# SG   P4/mmm (123)
# Total DFT energy (no corrections)   -10.268 eV per atom
data_V2IrW
_space_group_name_H-M_alt 'P 1'
_space_group_IT_number 1
_cell_length_a 3.066
_cell_length_b 3.066
_cell_length_c 6.103
_cell_angle_alpha 90.00
_cell_angle_beta 90.00
_cell_angle_gamma 90.00
loop_
_space_group_symop_operation_xyz
'x,y,z'
loop_
_atom_site_label
_atom_site_type_symbol
_atom_site_fract_x
_atom_site_fract_y
_atom_site_fract_z
Ir1 Ir 0.500 0.500 0.500
V1 V 0.000 0.000 0.758
V2 V 0.000 0.000 0.242
W1 W 0.500 0.500 0.000

***

(8)
# PBE SrIn9Ag2, optimized geometry
# Calculated density   6.97 g cm⁻³
# Calculated volume   26.53 Å³/atom
# Magnetic moment   0.00 μB per atom
# Formation energy from the elements   -0.09 eV/atom
# SG   I4_1/amd (141)
# Total DFT energy (no corrections)   -2.757 eV per atom
data_SrIn9Ag2
_space_group_name_H-M_alt 'P 1'
_space_group_IT_number 1
_cell_length_a 8.309
_cell_length_b 9.690
_cell_length_c 9.690
_cell_angle_alpha 79.41
_cell_angle_beta 64.61
_cell_angle_gamma 64.61
loop_
_space_group_symop_operation_xyz
'x,y,z'
loop_
_atom_site_label
_atom_site_type_symbol
_atom_site_fract_x
_atom_site_fract_y
_atom_site_fract_z
In1 In 0.757 0.818 0.573
Ag1 Ag 0.375 0.750 0.750
In2 In 0.425 0.427 0.818
In3 In 0.000 0.000 0.000
In4 In 0.757 0.573 0.818
Sr1 Sr 0.500 0.000 0.000
In5 In 0.080 0.318 0.927
In6 In 0.670 0.182 0.573
In7 In 0.148 0.427 0.182
In8 In 0.750 0.500 0.500
In9 In 0.080 0.927 0.318
In10 In 0.148 0.182 0.427
In11 In 0.993 0.682 0.927
In12 In 0.425 0.818 0.427
Ag2 Ag 0.875 0.250 0.750
In13 In 0.993 0.927 0.682
Ag3 Ag 0.875 0.750 0.250
In14 In 0.602 0.073 0.318
Ag4 Ag 0.875 0.250 0.250
In15 In 0.670 0.573 0.182
In16 In 0.325 0.073 0.682
Sr2 Sr 0.250 0.500 0.500
In17 In 0.325 0.682 0.073
In18 In 0.602 0.318 0.073

***

(9)
# PBE Sr4InAg, optimized geometry
# Calculated density   3.85 g cm⁻³
# Calculated volume   41.17 Å³/atom
# Magnetic moment   0.00 μB per atom
# Formation energy from the elements   -0.24 eV/atom
# Excess energy over the best structure of this formula in the dataset   0.000 eV per atom
# SG   C2/c (15)
# Total DFT energy (no corrections)   -2.292 eV per atom
data_Sr4InAg
_space_group_name_H-M_alt 'P 1'
_space_group_IT_number 1
_cell_length_a 7.303
_cell_length_b 8.980
_cell_length_c 9.276
_cell_angle_alpha 113.89
_cell_angle_beta 107.25
_cell_angle_gamma 101.58
loop_
_space_group_symop_operation_xyz
'x,y,z'
loop_
_atom_site_label
_atom_site_type_symbol
_atom_site_fract_x
_atom_site_fract_y
_atom_site_fract_z
Ag1 Ag 0.752 0.002 0.005
In1 In 0.385 0.635 0.269
Sr1 Sr 0.015 0.240 0.879
Sr2 Sr 0.215 0.305 0.361
Sr3 Sr 0.353 0.944 0.639
Sr4 Sr 0.985 0.760 0.121
Sr5 Sr 0.785 0.695 0.639
Sr6 Sr 0.636 0.361 0.121
In2 In 0.615 0.365 0.731
Sr7 Sr 0.364 0.639 0.879
Ag2 Ag 0.248 0.998 0.995
Sr8 Sr 0.647 0.056 0.361

***

(10)
# PBE TlPtRh, optimized geometry
# Calculated density   15.98 g cm⁻³
# Calculated volume   17.40 Å³/atom
# Magnetic moment   0.00 μB per atom
# Formation energy from the elements   0.17 eV/atom
# Excess energy over the best structure of this formula in the dataset   0.074 eV per atom
# SG   I4mm (107)
# Total DFT energy (no corrections)   -5.083 eV per atom
data_TlPtRh
_space_group_name_H-M_alt 'P 1'
_space_group_IT_number 1
_cell_length_a 6.048
_cell_length_b 6.048
_cell_length_c 6.048
_cell_angle_alpha 150.90
_cell_angle_beta 150.90
_cell_angle_gamma 41.62
loop_
_space_group_symop_operation_xyz
'x,y,z'
loop_
_atom_site_label
_atom_site_type_symbol
_atom_site_fract_x
_atom_site_fract_y
_atom_site_fract_z
Tl1 Tl 0.330 0.330 0.000
Rh1 Rh 0.664 0.664 0.000
Pt1 Pt 0.007 0.007 0.000

***

Look up the calculated volume of the first one.
46.48 Å³/atom

***

The highest calculated volume belongs to which entry?
KSr2Fe